Entry 1:
Density functional theory data (PBE-GGA) for a geometry-optimized AcLaAgSn structure.

a = 5.6110 Å, b = 5.6110 Å, c = 5.6110 Å
α = 60.00°, β = 60.00°, γ = 60.00°
Closest atoms and distances in Å follow each position.
Positions (direct):
Ac 0.5000 0.5000 0.5000  4 Sn 3.44, 4 Ag 3.44
Sn 0.7500 0.7500 0.7500  4 Ac 3.44, 4 La 3.44
Ag 0.2500 0.2500 0.2500  4 Ac 3.44, 4 La 3.44
La 0.0000 0.0000 0.0000  4 Ag 3.44, 4 Sn 3.44

## Properties
E_tot = -4.47 eV per atom
Crystal system = cubic
Energy of formation = -500 meV per atom
M_tot = 0.3 Bohr magnetons per cell
N(E_F) = 4.6 states/eV/cell
SG = F-43m

Entry 2:
Density functional theory data (PBE-GGA) for a geometry-optimized AcLaTbAg structure.

a = 3.7890 Å, b = 3.7890 Å, c = 9.0366 Å
α = 90.00°, β = 90.00°, γ = 90.00°
Closest atoms and distances in Å follow each position.
Positions (direct):
Ac 0.0000 0.0000 0.0823  4 Tb 3.75, 4 Ac 3.79, 4 La 3.85
La 0.5000 0.5000 0.7761  4 Ag 3.35, 1 Tb 3.64
Tb 0.5000 0.5000 0.3728  4 Ag 3.14
Ag 0.0000 0.0000 0.5535  4 Tb 3.14, 4 La 3.35

## Properties
E_tot = -4.24 eV per atom
Crystal system = tetragonal
Energy of formation = -111 meV per atom
M_tot = 0.0 Bohr magnetons per cell
N(E_F) = 5.3 states/eV/cell
SG = P4mm
ΔE to the lowest computed polymorph = 0.000 kcal/mol of atoms